A plane-wave DFT calculation with GGA-PBE was carried out for an optimized crystal structure of LiNbF4.

```
LiNbF4
1.0
5.226 0.000 0.000
0.000 5.226 0.000
-2.613 -2.613 2.520
Li Nb F
1 1 4
Direct
0.750 0.250 0.500 Li
0.500 0.500 0.000 Nb
0.449 0.996 0.442 F
0.993 0.446 0.442 F
0.004 0.007 0.558 F
0.554 0.551 0.558 F
```

A plane-wave DFT calculation with GGA-PBE was carried out for an optimized crystal structure of LiNbF2.

```
LiNbF2
1.0
0.000 2.983 2.983
2.983 0.000 2.983
2.983 2.983 0.000
Nb Li F
1 1 2
Direct
0.500 0.500 0.500 Nb
0.000 0.000 0.000 Li
0.250 0.250 0.250 F
0.750 0.750 0.750 F
```

Computed properties:
Excess energy over the best structure of this formula in the dataset: 1.187 eV per atom

A plane-wave DFT calculation with GGA-PBE was carried out for an optimized crystal structure of LiNbF5.

```
LiNbF5
1.0
5.498 -0.339 0.278
1.423 5.321 0.278
2.829 2.036 7.297
Li Nb F
2 2 10
Direct
0.439 0.561 0.250 Li
0.561 0.439 0.750 Li
0.000 0.000 0.000 Nb
0.000 0.000 0.500 Nb
0.773 0.700 0.141 F
0.248 0.699 0.455 F
0.700 0.773 0.641 F
0.942 0.058 0.250 F
0.301 0.752 0.045 F
0.699 0.248 0.955 F
0.058 0.942 0.750 F
0.300 0.227 0.359 F
0.752 0.301 0.545 F
0.227 0.300 0.859 F
```

Computed properties:
Excess energy over the best structure of this formula in the dataset: 0.010 eV per atom

| no. | electronic total energy (eV per formula unit) |
| --- | --- |
| 1 | -34.62 |
| 2 | -19.59 |
| 3 | -41.96 |